## 1
Entry from the Alexandria database: a relaxed Tl2TeBr4 crystal (PBE-GGA).

a = 6.070 Å, b = 6.070 Å, c = 8.860 Å
α = 69.97°, β = 69.97°, γ = 90.00°
Sites, in units of the cell vectors:
Tl  0.622  0.622  0.757
Tl  0.378  0.378  0.243
Br  0.500  0.000  0.000
Br  0.822  0.822  0.356
Br  0.000  0.500  0.000
Br  0.178  0.178  0.644
Te  0.000  0.000  0.000

Results
Density in g cm⁻³: 5.0
Density of states at the Fermi level in states/eV per atom: 0.33
Space group: I4/mmm, No. 139
Calculated volume in Å³ per atom: 40.803

---

## 2
Entry from the Alexandria database: a relaxed Tl2TeBr4 crystal (PBE-GGA).

a = 7.840 Å, b = 7.840 Å, c = 7.052 Å
α = 123.77°, β = 123.77°, γ = 90.00°
Sites, in units of the cell vectors:
Br  0.751  0.249  0.000
Br  0.751  0.751  0.000
Br  0.249  0.249  0.000
Br  0.249  0.751  0.000
Tl  0.750  0.250  0.500
Tl  0.250  0.750  0.500
Te  0.500  0.500  0.000

Results
Density in g cm⁻³: 5.3
Space group: I4/mmm, No. 139
Calculated volume in Å³ per atom: 38.266

---

Most stable structure, least stable structure: 2, 1.

---

## 1
Entry from the Alexandria database: a relaxed UTeBr crystal (PBE-GGA).

a = 4.162 Å, b = 6.136 Å, c = 8.845 Å
α = 90.00°, β = 90.00°, γ = 90.00°
Each line ends with the local moment (μB).
Sites, in units of the cell vectors:
Te  0.000  0.000  0.864  -0.08
Te  0.500  0.500  0.136  -0.08
Br  0.500  0.500  0.648  -0.04
Br  0.000  0.000  0.352  -0.04
U  0.500  0.000  0.124  2.74
U  0.000  0.500  0.876  2.74

Results
Density in g cm⁻³: 6.6
Density of states at the Fermi level in states/eV per atom: 1.51
Space group: Pmmn, No. 59
Calculated volume in Å³ per atom: 37.647

---

## 2
Entry from the Alexandria database: a relaxed UTeBr crystal (PBE-GGA).

a = 4.381 Å, b = 4.381 Å, c = 11.631 Å
α = 89.66°, β = 89.66°, γ = 89.74°
Each line ends with the local moment (μB).
Sites, in units of the cell vectors:
Te  0.748  0.748  0.133  -0.07
Te  0.252  0.252  0.867  -0.07
U  0.752  0.752  0.859  2.62
U  0.248  0.248  0.141  2.62
Br  0.757  0.757  0.631  -0.06
Br  0.243  0.243  0.369  -0.06

Results
Density in g cm⁻³: 6.6
Density of states at the Fermi level in states/eV per atom: 1.87
Space group: C2/m, No. 12
Calculated volume in Å³ per atom: 37.205

---

Most stable structure, least stable structure: 1, 2.

---

## 1
Entry from the Alexandria database: a relaxed UTeBr crystal (PBE-GGA).

a = 3.990 Å, b = 4.966 Å, c = 4.966 Å
α = 120.00°, β = 90.00°, γ = 90.00°
Each line ends with the local moment (μB).
Sites, in units of the cell vectors:
U  0.167  0.667  0.333  2.82
Te  0.667  0.333  0.667  -0.10
Br  0.166  0.000  0.000  -0.04

Results
Density in g cm⁻³: 8.7
Density of states at the Fermi level in states/eV per atom: 2.64
Space group: P-6m2, No. 187
Calculated volume in Å³ per atom: 28.401

---

## 2
Entry from the Alexandria database: a relaxed UTeBr crystal (PBE-GGA).

a = 6.439 Å, b = 4.239 Å, c = 6.788 Å
α = 108.20°, β = 90.00°, γ = 90.00°
Each line ends with the local moment (μB).
Sites, in units of the cell vectors:
U  0.000  0.746  0.990  2.81
U  0.500  0.992  0.481  2.81
Te  0.500  0.665  0.827  -0.08
Te  0.000  0.073  0.644  -0.08
Br  0.750  0.369  0.236  -0.03
Br  0.250  0.369  0.236  -0.03

Results
Density in g cm⁻³: 8.4
Density of states at the Fermi level in states/eV per atom: 1.91
Space group: Cmcm, No. 63
Calculated volume in Å³ per atom: 29.335

---

Most stable structure, least stable structure: 2, 1.

---

## 1
Entry from the Alexandria database: a relaxed UTeBr2 crystal (PBE-GGA).

a = 4.005 Å, b = 7.464 Å, c = 9.350 Å
α = 90.00°, β = 90.00°, γ = 105.56°
Each line ends with the local moment (μB).
Sites, in units of the cell vectors:
Br  0.340  0.679  0.571  -0.04
Br  0.660  0.321  0.429  -0.04
Br  0.660  0.321  0.071  -0.04
Br  0.340  0.679  0.929  -0.04
U  0.265  0.530  0.250  2.22
U  0.735  0.470  0.750  2.22
Te  0.083  0.167  0.750  -0.15
Te  0.917  0.833  0.250  -0.15

Results
Density in g cm⁻³: 6.5
Density of states at the Fermi level in states/eV per atom: 1.61
Space group: Cmcm, No. 63
Calculated volume in Å³ per atom: 33.655

---

## 2
Entry from the Alexandria database: a relaxed UTeBr2 crystal (PBE-GGA).

a = 3.897 Å, b = 4.745 Å, c = 8.342 Å
α = 106.32°, β = 90.00°, γ = 90.00°
Each line ends with the local moment (μB).
Sites, in units of the cell vectors:
Te  0.500  0.267  0.659  -0.15
Br  0.500  0.599  0.318  -0.04
Br  0.000  0.900  0.929  -0.08
U  0.000  0.734  0.593  2.19

Results
Density in g cm⁻³: 5.9
Density of states at the Fermi level in states/eV per atom: 1.22
Space group: Pm, No. 6
Calculated volume in Å³ per atom: 37.012

---

Most stable structure, least stable structure: 1, 2.